Entry from Alexandria: a relaxed structure of TcBIN2 (PBE).

POSCAR file:
```
TcBIN2
1.0
3.6647 0.0000 0.0000
0.0000 3.6647 0.0000
0.0000 0.0000 4.7312
Tc B I N
1 1 1 2
direct
0.0000 0.0000 0.0000 Tc
0.5000 0.5000 0.5000 B
0.5000 0.5000 0.0000 I
0.0000 0.5000 0.5000 N
0.5000 0.0000 0.5000 N
```

Summary:
Formation energy from raw total energies: 2.154 eV/atom
Calculated total energy: -4.894 eV per atom
E above lowest polymorph: 0.786 eV/atom
Crystal system: tetragonal


Entry from Alexandria: a relaxed structure of BTeI2N (PBE).

POSCAR file:
```
BTeI2N
1.0
6.1994 0.0000 0.0000
0.0000 6.1994 0.0000
0.0000 0.0000 3.9958
B Te I N
1 1 2 1
direct
0.0000 0.0000 0.0000 B
0.5000 0.5000 0.5000 Te
0.0000 0.5000 0.5000 I
0.5000 0.0000 0.5000 I
0.5000 0.5000 0.0000 N
```

Summary:
Formation energy from raw total energies: 1.528 eV/atom
Calculated total energy: -2.721 eV per atom
E above lowest polymorph: 1.462 eV/atom
Crystal system: tetragonal